Here is an optimized crystal structure of Ta4GaPN2 from the Open Quantum Materials Database. Energies are from PBE.

Output
The calculation puts the electronic total energy at -9.73 eV per atom.

Lattice parameters (Å, degrees): 3.0469 3.0469 13.4085 90.00 90.00 120.00
Last column: nearest neighbours and their distance in Å.
Sites, in units of the cell vectors:
Ga1 0.0000 0.0000 0.5000  6 Ta 2.80, 6 Ga 3.05
Ta1 0.3333 0.6667 0.3374  3 N 2.21
Ta2 0.0000 0.0000 0.8666  3 N 2.25, 3 P 2.51
Ta3 0.3333 0.6667 0.6626  3 N 2.21
N1 0.6667 0.3333 0.2375  6 Ta 2.21-2.25
N2 0.6667 0.3333 0.7625  6 Ta 2.21-2.25
Ta4 0.0000 0.0000 0.1334  3 N 2.25, 3 P 2.51
P1 0.3333 0.6667 0.0000  6 Ta 2.51

---

Here is an optimized crystal structure of Ta4GaPN2 from the Open Quantum Materials Database. Energies are from PBE.

Output
The calculation puts the electronic total energy at -9.73 eV per atom.

Lattice parameters (Å, degrees): 3.0468 3.0468 13.4086 90.00 90.00 120.00
Last column: nearest neighbours and their distance in Å.
Sites, in units of the cell vectors:
Ta1 0.0000 0.0000 0.3666  3 N 2.25, 3 P 2.51
Ga1 0.0000 0.0000 0.0000  6 Ta 2.80, 6 Ga 3.05
Ta2 0.6667 0.3333 0.1626  3 N 2.21
Ta3 0.6667 0.3333 0.8374  3 N 2.21
N1 0.3333 0.6667 0.7375  6 Ta 2.21-2.25
P1 0.6667 0.3333 0.5000  6 Ta 2.51
N2 0.3333 0.6667 0.2625  6 Ta 2.21-2.25
Ta4 0.0000 0.0000 0.6334  3 N 2.25, 3 P 2.51

---

Here is an optimized crystal structure of GaPW4N2 from the Open Quantum Materials Database. Energies are from PBE.

Output
The calculation puts the electronic total energy at -9.51 eV per atom.

Lattice parameters (Å, degrees): 2.9053 2.9053 13.8365 90.00 90.00 120.00
Last column: nearest neighbours and their distance in Å.
Sites, in units of the cell vectors:
N1 0.3333 0.6667 0.7408  6 W 2.18-2.24
W1 0.6667 0.3333 0.8410  3 N 2.18
N2 0.3333 0.6667 0.2592  6 W 2.18-2.24
W2 0.0000 0.0000 0.3664  3 N 2.24, 3 P 2.50
W3 0.6667 0.3333 0.1590  3 N 2.18
W4 0.0000 0.0000 0.6336  3 N 2.24, 3 P 2.50
Ga1 0.0000 0.0000 0.0000  6 W 2.77, 6 Ga 2.91
P1 0.6667 0.3333 0.5000  6 W 2.50

---

Here is an optimized crystal structure of Zr4GaPN2 from the Open Quantum Materials Database. Energies are from PBE.

Output
The calculation puts the electronic total energy at -8.71 eV per atom.

Lattice parameters (Å, degrees): 3.3443 3.3443 13.0314 90.00 90.00 120.00
Last column: nearest neighbours and their distance in Å.
Sites, in units of the cell vectors:
Zr1 0.6667 0.3333 0.6381  3 N 2.33
P1 0.0000 0.0000 0.5000  6 Zr 2.64
Zr2 0.0000 0.0000 0.1695  3 N 2.28
Ga1 0.6667 0.3333 0.0000  6 Zr 2.93
N1 0.3333 0.6667 0.2620  6 Zr 2.28-2.33
N2 0.3333 0.6667 0.7380  6 Zr 2.28-2.33
Zr3 0.6667 0.3333 0.3619  3 N 2.33
Zr4 0.0000 0.0000 0.8305  3 N 2.28

---

Question: Which value of electronic total energy does entry 1 give?
Answer: -9.73 eV per atom